The following is a DFT calculation (GGA-PBE) of a relaxed KNbAuO3 crystal.

DFT total energy = -159.99 eV per cell
calculated volume = 400.5 Å³ per cell
total magnetization = 0.155 μB/cell
space-group type = Pnma, No. 62

a = 10.8496 Å, b = 3.0986 Å, c = 11.9131 Å
α = 90.00°, β = 90.00°, γ = 90.00°
Positions (direct):
Au  0.9061  0.5000  0.4654
Nb  0.6367  0.0000  0.5404
O  0.2996  0.0000  0.5545
O  0.4790  0.0000  0.4061
O  0.2329  0.5000  0.8375
O  0.7329  0.0000  0.6625
O  0.7004  0.5000  0.4455
K  0.5917  0.5000  0.2413
K  0.4083  0.0000  0.7587
K  0.9083  0.5000  0.7413
Nb  0.1367  0.5000  0.9596
Au  0.4061  0.0000  0.0346
O  0.2671  0.5000  0.3375
O  0.5210  0.5000  0.5939
Au  0.0939  0.0000  0.5346
O  0.2004  0.0000  0.0545
O  0.0210  0.0000  0.9061
O  0.9790  0.5000  0.0939
O  0.7996  0.5000  0.9455
Nb  0.8633  0.0000  0.0404
Nb  0.3633  0.5000  0.4596
K  0.0917  0.0000  0.2587
Au  0.5939  0.5000  0.9654
O  0.7671  0.0000  0.1625

---

The following is a DFT calculation (GGA-PBE) of a relaxed CuSb5Ir3 crystal.

DFT total energy = -48.96 eV per cell
calculated volume = 212.8 Å³ per cell
total magnetization = 0.007 μB/cell
space-group type = P6/mmm, No. 191

a = 5.5952 Å, b = 5.5952 Å, c = 7.8486 Å
α = 90.00°, β = 90.00°, γ = 120.00°
Positions (direct):
Sb  0.6667  0.3333  0.2146
Ir  0.0000  0.5000  0.5000
Sb  0.3333  0.6667  0.7854
Sb  0.0000  0.0000  0.5000
Ir  0.5000  0.5000  0.5000
Cu  0.0000  0.0000  0.0000
Ir  0.5000  0.0000  0.5000
Sb  0.3333  0.6667  0.2146
Sb  0.6667  0.3333  0.7854

---

The following is a DFT calculation (GGA-PBE) of a relaxed DyNbGe crystal.

DFT total energy = -16.84 eV per cell
calculated volume = 79.0 Å³ per cell
total magnetization = 3.688 μB/cell
space-group type = F-43m, No. 216

a = 4.8172 Å, b = 4.8172 Å, c = 4.8172 Å
α = 60.00°, β = 60.00°, γ = 60.00°
Positions (direct):
Nb  0.7500  0.7500  0.7500
Dy  0.0000  0.0000  0.0000
Ge  0.2500  0.2500  0.2500

---

- Which value of total magnetization does entry 1 give?
  0.155 μB/cell

---

- DFT total energy of number 1 (KNbAuO3)?
  -159.99 eV per cell